Record 1
AgPPtO PBE relaxed; magnetic moment = 0.003 μB per atom; excess energy over the best structure of this formula in the dataset = 25 meV/atom
1.0
-0.693 2.036 -3.264
-5.488 1.442 2.065
2.196 4.768 2.507
Ag O P Pt
2 2 2 2
Direct
0.000 0.843 0.013 Ag
0.000 0.157 0.513 Ag
0.000 0.781 0.418 O
0.000 0.219 0.918 O
0.500 0.341 0.357 P
0.500 0.659 0.857 P
0.500 0.706 0.465 Pt
0.500 0.294 0.965 Pt



Record 2
AgPPtO PBE relaxed; magnetic moment = 0.000 μB per atom; excess energy over the best structure of this formula in the dataset = 0 meV/atom
1.0
3.244 0.000 0.000
0.000 7.182 0.000
0.000 0.000 5.740
Ag O P Pt
2 2 2 2
Direct
0.000 0.694 0.454 Ag
0.000 0.306 0.954 Ag
0.500 0.929 0.376 O
0.500 0.071 0.876 O
0.000 0.361 0.380 P
0.000 0.639 0.880 P
0.500 0.814 0.045 Pt
0.500 0.186 0.545 Pt



Record 3
AgPPtO PBE relaxed; magnetic moment = 0.001 μB per atom; excess energy over the best structure of this formula in the dataset = 428 meV/atom
1.0
-2.955 0.516 2.428
0.095 -3.749 0.913
4.651 1.422 5.358
Ag O P Pt
2 2 2 2
Direct
0.500 0.000 0.500 Ag
0.000 0.500 0.500 Ag
0.500 0.000 0.000 O
0.000 0.500 0.000 O
0.500 0.500 0.216 P
0.000 0.000 0.784 P
0.000 0.000 0.199 Pt
0.500 0.500 0.801 Pt



Record 4
AgPPtO PBE relaxed; magnetic moment = 0.000 μB per atom; excess energy over the best structure of this formula in the dataset = 5 meV/atom
1.0
4.223 0.000 0.000
0.000 4.223 0.000
0.000 0.000 7.635
Ag O P Pt
2 2 2 2
Direct
0.000 0.500 0.062 Ag
0.500 0.000 0.938 Ag
0.000 0.000 0.000 O
0.500 0.500 0.000 O
0.500 0.000 0.350 P
0.000 0.500 0.650 P
0.000 0.000 0.500 Pt
0.500 0.500 0.500 Pt



Record 5
AgPPtO PBE relaxed; magnetic moment = 0.001 μB per atom; excess energy over the best structure of this formula in the dataset = 7 meV/atom
1.0
0.720 0.791 -4.099
-4.165 -0.145 -0.759
-0.499 7.365 1.333
Ag O P Pt
2 2 2 2
Direct
0.000 0.000 0.059 Ag
0.500 0.500 0.941 Ag
0.500 0.000 0.000 O
0.000 0.500 0.000 O
0.500 0.500 0.349 P
0.000 0.000 0.651 P
0.500 0.000 0.500 Pt
0.000 0.500 0.500 Pt



Record 6
AgPPtO PBE relaxed; magnetic moment = 0.001 μB per atom; excess energy over the best structure of this formula in the dataset = 429 meV/atom
1.0
-2.080 -0.133 3.247
-1.218 -3.543 -0.925
5.657 -2.859 3.507
Ag O P Pt
2 2 2 2
Direct
0.000 0.000 0.500 Ag
0.500 0.500 0.500 Ag
0.000 0.000 0.000 O
0.500 0.500 0.000 O
0.500 0.000 0.219 P
0.000 0.500 0.781 P
0.000 0.500 0.199 Pt
0.500 0.000 0.801 Pt



Record 7
RbAgPO PBE relaxed; excess energy over the best structure of this formula in the dataset = 445 meV/atom
1.0
3.105 -3.105 0.000
3.105 3.105 0.000
0.000 0.000 8.751
Ag O P Rb
2 2 2 2
Direct
0.250 0.250 0.216 Ag
0.750 0.750 0.784 Ag
0.750 0.250 0.000 O
0.250 0.750 0.000 O
0.750 0.750 0.067 P
0.250 0.250 0.933 P
0.750 0.250 0.500 Rb
0.250 0.750 0.500 Rb



Record 8
RbAgPO PBE relaxed; excess energy over the best structure of this formula in the dataset = 0 meV/atom
1.0
3.703 0.000 0.000
0.000 7.173 0.000
0.000 0.000 7.468
Ag O P Rb
2 2 2 2
Direct
0.000 0.196 0.480 Ag
0.000 0.804 0.980 Ag
0.500 0.321 0.445 O
0.500 0.679 0.945 O
0.000 0.946 0.265 P
0.000 0.054 0.765 P
0.500 0.323 0.065 Rb
0.500 0.677 0.565 Rb



Record 9
RbAgPO PBE relaxed; excess energy over the best structure of this formula in the dataset = 153 meV/atom
1.0
-0.849 -1.039 4.130
1.056 -4.131 -0.822
9.920 2.030 2.548
Ag O P Rb
2 2 2 2
Direct
0.000 0.000 0.500 Ag
0.500 0.500 0.500 Ag
0.000 0.000 0.000 O
0.500 0.500 0.000 O
0.500 0.000 0.384 P
0.000 0.500 0.616 P
0.000 0.500 0.155 Rb
0.500 0.000 0.845 Rb



Record 10
RbAgPO PBE relaxed; excess energy over the best structure of this formula in the dataset = 75 meV/atom
1.0
-1.586 -3.623 1.318
3.091 -3.429 -5.706
5.895 -1.164 3.892
Ag O P Rb
2 2 2 2
Direct
0.000 0.376 0.035 Ag
0.000 0.624 0.535 Ag
0.000 0.419 0.321 O
0.000 0.581 0.821 O
0.500 0.747 0.444 P
0.500 0.253 0.944 P
0.500 0.219 0.454 Rb
0.500 0.781 0.954 Rb



Record 11
RbAg2PS3O PBE relaxed; final energy = -4.40 eV per atom
1.0
4.272 -4.716 0.000
4.272 4.716 0.000
-4.037 0.000 4.505
Ag O P Rb S
2 1 1 1 3
Direct
0.749 0.270 0.492 Ag
0.270 0.749 0.492 Ag
0.940 0.940 0.672 O
0.986 0.986 0.962 P
0.547 0.547 0.063 Rb
0.298 0.298 0.345 S
0.674 0.036 0.987 S
0.036 0.674 0.987 S



Record 12
RbAg2PSe3O PBE relaxed; final energy = -4.08 eV per atom
1.0
4.422 -4.941 0.000
4.422 4.941 0.000
-4.075 0.000 4.688
Ag O P Rb Se
2 1 1 1 3
Direct
0.746 0.261 0.499 Ag
0.261 0.746 0.499 Ag
0.941 0.941 0.667 O
0.983 0.983 0.947 P
0.554 0.554 0.069 Rb
0.306 0.306 0.347 Se
0.666 0.043 0.986 Se
0.043 0.666 0.986 Se



Record 13
ScAgPO PBE relaxed; magnetic moment = 0.001 μB per atom; excess energy over the best structure of this formula in the dataset = 0 meV/atom
1.0
3.796 0.000 0.000
0.000 3.796 0.000
0.000 0.000 8.756
Ag O P Sc
2 2 2 2
Direct
0.750 0.250 0.500 Ag
0.250 0.750 0.500 Ag
0.750 0.250 0.000 O
0.250 0.750 0.000 O
0.750 0.750 0.296 P
0.250 0.250 0.704 P
0.250 0.250 0.109 Sc
0.750 0.750 0.891 Sc



Record 14
ScAgPO PBE relaxed; magnetic moment = 0.000 μB per atom; excess energy over the best structure of this formula in the dataset = 422 meV/atom
1.0
3.702 -3.702 0.000
3.702 3.702 0.000
0.000 0.000 4.614
Ag O P Sc
2 2 2 2
Direct
0.000 0.000 0.002 Ag
0.500 0.500 0.998 Ag
0.500 0.000 0.000 O
0.000 0.500 0.000 O
0.500 0.500 0.498 P
0.000 0.000 0.502 P
0.500 0.000 0.500 Sc
0.000 0.500 0.500 Sc



Record 15
ScAgPO PBE relaxed; magnetic moment = 0.000 μB per atom; excess energy over the best structure of this formula in the dataset = 176 meV/atom
1.0
-2.420 1.104 -3.564
4.716 -2.766 -4.059
-2.343 -4.351 0.243
Ag O P Sc
2 2 2 2
Direct
0.000 0.724 0.438 Ag
0.000 0.276 0.938 Ag
0.500 0.890 0.387 O
0.500 0.110 0.887 O
0.000 0.359 0.431 P
0.000 0.641 0.931 P
0.500 0.167 0.498 Sc
0.500 0.833 0.998 Sc



Record 16
ScAgP2O7 PBE relaxed; magnetic moment = 0.000 μB per atom; final energy = -7.25 eV per atom
1.0
3.170 4.246 1.251
-4.507 2.390 -1.904
-1.582 -0.790 4.314
Ag O P Sc
1 7 2 1
Direct
0.246 0.754 0.000 Ag
0.350 0.177 0.214 O
0.958 0.351 0.270 O
0.602 0.692 0.296 O
0.034 0.966 0.500 O
0.308 0.398 0.704 O
0.649 0.042 0.730 O
0.823 0.650 0.786 O
0.164 0.241 0.418 P
0.759 0.836 0.582 P
0.630 0.370 0.000 Sc



Record 17
ScAgPO PBE relaxed; magnetic moment = 0.000 μB per atom; excess energy over the best structure of this formula in the dataset = 181 meV/atom
1.0
3.466 0.000 0.000
0.000 7.457 0.000
0.000 0.000 5.658
Ag O P Sc
2 2 2 2
Direct
0.000 0.600 0.434 Ag
0.000 0.400 0.934 Ag
0.000 0.300 0.439 O
0.000 0.700 0.939 O
0.500 0.829 0.441 P
0.500 0.171 0.941 P
0.500 0.179 0.440 Sc
0.500 0.821 0.940 Sc



Record 18
Ag5PSeO4 PBE relaxed; final energy = -4.74 eV per atom
1.0
-6.003 -2.152 2.601
-1.414 -3.216 -5.923
3.253 -6.046 2.506
Ag O P Se
10 8 2 2
Direct
0.532 0.532 0.192 Ag
0.968 0.532 0.192 Ag
0.532 0.968 0.192 Ag
0.968 0.968 0.192 Ag
0.750 0.750 0.466 Ag
0.250 0.250 0.534 Ag
0.032 0.032 0.808 Ag
0.468 0.032 0.808 Ag
0.032 0.468 0.808 Ag
0.468 0.468 0.808 Ag
0.565 0.250 0.377 O
0.935 0.250 0.377 O
0.250 0.565 0.377 O
0.250 0.935 0.377 O
0.750 0.065 0.623 O
0.750 0.435 0.623 O
0.065 0.750 0.623 O
0.435 0.750 0.623 O
0.750 0.250 0.500 P
0.250 0.750 0.500 P
0.250 0.250 0.012 Se
0.750 0.750 0.988 Se



Record 19
SiAgPO PBE relaxed; excess energy over the best structure of this formula in the dataset = 1147 meV/atom
1.0
-3.033 2.925 -0.429
-2.870 -3.060 -0.580
-1.319 -0.231 7.743
Ag O P Si
2 2 2 2
Direct
0.000 0.500 0.053 Ag
0.500 0.000 0.947 Ag
0.000 0.000 0.000 O
0.500 0.500 0.000 O
0.500 0.000 0.363 P
0.000 0.500 0.637 P
0.000 0.000 0.500 Si
0.500 0.500 0.500 Si



Record 20
SiAgPO PBE relaxed; excess energy over the best structure of this formula in the dataset = 0 meV/atom
1.0
-1.389 3.206 0.417
-6.287 -2.073 -5.000
-2.482 -1.566 3.771
Ag O P Si
2 2 2 2
Direct
0.000 0.113 0.455 Ag
0.000 0.887 0.955 Ag
0.500 0.450 0.335 O
0.500 0.550 0.835 O
0.000 0.781 0.450 P
0.000 0.219 0.950 P
0.500 0.380 0.014 Si
0.500 0.620 0.514 Si